No. 1
A relaxed structure of TbIn8Ni4, computed with GGA-PBE.

Results
As for the mass density: 8.8 g/cm3. The formation energy comes out at -0.153 eV per atom.

a b c (Å): 5.6552 7.2123 7.2123
angles (deg): 81.16 66.92 66.92
Last column: nearest neighbours and their distance in Å.
Positions (direct):
Tb: 0.0000 0.0000 0.0000  4 In 3.12
In: 0.0000 0.3326 0.6674  4 Ni 2.85, 5 In 3.01-3.14, 1 Tb 3.12
In: 0.0000 0.6674 0.3326  4 Ni 2.85, 5 In 3.01-3.14, 1 Tb 3.12
In: 0.3326 0.6674 0.6674  4 Ni 2.85, 5 In 3.01-3.14, 1 Tb 3.12
In: 0.6674 0.3326 0.3326  4 Ni 2.85, 5 In 3.01-3.14, 1 Tb 3.12
In: 0.5000 0.7787 0.2213  4 Ni 2.75, 6 In 2.94-3.05
In: 0.5000 0.2213 0.7787  4 Ni 2.75, 6 In 2.94-3.05
In: 0.2787 0.2213 0.2213  4 Ni 2.75, 6 In 2.94-3.05
In: 0.7213 0.7787 0.7787  4 Ni 2.75, 6 In 2.94-3.05
Ni: 0.0000 0.0000 0.5000  8 In 2.75-2.85, 2 Ni 2.83
Ni: 0.5000 0.0000 0.5000  8 In 2.75-2.85, 2 Ni 2.83
Ni: 0.0000 0.5000 0.0000  8 In 2.75-2.85, 2 Ni 2.83
Ni: 0.5000 0.5000 0.0000  8 In 2.75-2.85, 2 Ni 2.83

=====

No. 2
A relaxed structure of TbIn12Ni5, computed with GGA-PBE.

Results
As for the mass density: 8.3 g/cm3. The formation energy comes out at -0.119 eV per atom.

a b c (Å): 7.8907 7.8907 7.8907
angles (deg): 99.16 112.15 117.63
Last column: nearest neighbours and their distance in Å.
Positions (direct):
Tb: 0.0000 0.5000 0.5000  12 In 3.12-3.30
In: 0.5474 0.8229 0.7245  4 Ni 2.70-2.82, 1 In 2.89
In: 0.4526 0.1771 0.2755  4 Ni 2.70-2.82, 1 In 2.89
In: 0.9017 0.1771 0.7245  4 Ni 2.70-2.82, 1 In 2.89
In: 0.0983 0.8229 0.2755  4 Ni 2.70-2.82, 1 In 2.89
In: 0.6886 0.6666 0.3551  3 Ni 2.69-2.78
In: 0.3114 0.3334 0.6449  3 Ni 2.69-2.78
In: 0.3114 0.6666 0.9780  3 Ni 2.69-2.78
In: 0.6886 0.3334 0.0220  3 Ni 2.69-2.78
In: 0.8100 0.5745 0.7645  3 Ni 2.64-2.90
In: 0.1900 0.4255 0.2355  3 Ni 2.64-2.90
In: 0.1900 0.9545 0.7645  3 Ni 2.64-2.90
In: 0.8100 0.0455 0.2355  3 Ni 2.64-2.90
Ni: 0.6768 0.6768 0.0000  2 Ni 2.64-2.89, 8 In 2.64-2.78
Ni: 0.3232 0.3232 0.0000  2 Ni 2.64-2.89, 8 In 2.64-2.78
Ni: 0.5000 0.1269 0.6269  1 Ni 2.60, 8 In 2.69-2.90
Ni: 0.5000 0.8731 0.3731  1 Ni 2.60, 8 In 2.69-2.90
Ni: 0.0000 0.0000 0.0000  2 Ni 2.64, 8 In 2.82-2.87

=====

No. 3
A relaxed structure of TbInNi3, computed with GGA-PBE.

Results
As for the mass density: 8.9 g/cm3. The formation energy comes out at -0.264 eV per atom.

a b c (Å): 4.9756 4.7383 7.5783
angles (deg): 90.00 109.16 90.00
Last column: nearest neighbours and their distance in Å.
Positions (direct):
Tb: 0.2012 0.2500 0.4025  8 Ni 2.85-3.12, 2 In 3.13
Tb: 0.7988 0.7500 0.5975  8 Ni 2.85-3.12, 2 In 3.13
In: 0.5682 0.2500 0.1363  10 Ni 2.75-2.93, 2 In 3.07
In: 0.4318 0.7500 0.8637  10 Ni 2.75-2.93, 2 In 3.07
Ni: 0.1406 0.2500 0.7630  4 Ni 2.40-2.58
Ni: 0.6225 0.2500 0.7630  4 Ni 2.40-2.58
Ni: 0.3775 0.7500 0.2370  4 Ni 2.40-2.58
Ni: 0.8594 0.7500 0.2370  4 Ni 2.40-2.58
Ni: 0.0000 0.0000 0.0000  6 Ni 2.37-2.44
Ni: 0.0000 0.5000 0.0000  6 Ni 2.37-2.44

=====

No. 4
A relaxed structure of Tb7In2Ni2, computed with GGA-PBE.

Results
As for the mass density: 7.8 g/cm3. The formation energy comes out at -0.227 eV per atom.

a b c (Å): 6.8467 6.9663 6.8467
angles (deg): 89.99 108.73 90.01
Last column: nearest neighbours and their distance in Å.
Positions (direct):
Tb: 0.9998 0.2455 0.5003  2 Ni 2.67
Tb: 0.5003 0.7545 0.9998  2 Ni 2.67
Tb: 0.0002 0.7545 0.4997  2 Ni 2.67
Tb: 0.4997 0.2455 0.0002  2 Ni 2.67
Tb: 0.0000 0.0000 0.0000  2 Ni 3.28
Tb: 0.5002 0.7627 0.4998  2 Ni 2.82-2.83
Tb: 0.4998 0.2373 0.5002  2 Ni 2.82-2.83
In: 0.8246 0.5000 0.8246  1 In 2.80
In: 0.1754 0.5000 0.1754  1 In 2.80
Ni: 0.7057 0.0000 0.2943  6 Tb 2.67-2.83
Ni: 0.2943 0.0000 0.7057  6 Tb 2.67-2.83